# 1
This record from Alexandria describes a relaxed Sr2CdGa3Au4 crystal. The functional is PBE-GGA.

```
data_Sr2CdGa3Au4
_cell_length_a 4.5481
_cell_length_b 4.5481
_cell_length_c 11.1020
_cell_angle_alpha 90.00
_cell_angle_beta 90.00
_cell_angle_gamma 90.00
_space_group_name_H-M_alt 'P 1'
_space_group_IT_number 1
_space_group_name_Hall 'P 1'
loop_
_atom_site_label
_atom_site_fract_x
_atom_site_fract_y
_atom_site_fract_z
_atom_site_occupancy
Ga1 0.5000 0.0000 0.8789 1
Au1 0.5000 0.5000 0.0000 1
Au2 0.0000 0.0000 0.0000 1
Ga2 0.0000 0.0000 0.5000 1
Sr1 0.5000 0.0000 0.2409 1
Ga3 0.0000 0.5000 0.1211 1
Sr2 0.0000 0.5000 0.7591 1
Au3 0.5000 0.0000 0.6475 1
Au4 0.0000 0.5000 0.3525 1
Cd1 0.5000 0.5000 0.5000 1
```

Computed properties:
Raw total energy = -3.21 eV per atom
Space group = P-4m2 (115)
Energy of formation = -564 meV/atom

=====

# 2
This record from Alexandria describes a relaxed Sr2Cd4GaAu3 crystal. The functional is PBE-GGA.

```
data_Sr2Cd4GaAu3
_cell_length_a 4.4191
_cell_length_b 4.4191
_cell_length_c 12.8317
_cell_angle_alpha 90.00
_cell_angle_beta 90.00
_cell_angle_gamma 90.00
_space_group_name_H-M_alt 'P 1'
_space_group_IT_number 1
_space_group_name_Hall 'P 1'
loop_
_atom_site_label
_atom_site_fract_x
_atom_site_fract_y
_atom_site_fract_z
_atom_site_occupancy
Cd1 0.0000 0.0000 0.0000 1
Cd2 0.5000 0.0000 0.6371 1
Au1 0.5000 0.0000 0.8531 1
Sr1 0.5000 0.0000 0.2447 1
Cd3 0.0000 0.5000 0.3629 1
Sr2 0.0000 0.5000 0.7553 1
Au2 0.0000 0.5000 0.1469 1
Cd4 0.5000 0.5000 0.0000 1
Ga1 0.5000 0.5000 0.5000 1
Au3 0.0000 0.0000 0.5000 1
```

Computed properties:
Raw total energy = -2.40 eV per atom
Space group = P-4m2 (115)
Energy of formation = -415 meV/atom